*P*
First-principles (PBE-GGA) data for crystalline BeAlIr at its relaxed geometry, as listed in the Open Quantum Materials Database.

The volume is 14.7 Å³/atom.

It has space group F-43m (No. 216), with a = 5.6022 Å, b = 5.6022 Å, c = 5.6022 Å, α = 90.00°, β = 90.00° and γ = 90.00°. The inequivalent atoms are Be at (0.0000, 0.0000, 0.0000), Al at (0.2500, 0.2500, 0.2500) and Ir at (0.0000, 0.0000, 0.5000).



*Q*
First-principles (PBE-GGA) data for crystalline BeAlIr at its relaxed geometry, as listed in the Open Quantum Materials Database.

The volume is 15.0 Å³/atom.

It has space group F-43m (No. 216), with a = 5.6431 Å, b = 5.6431 Å, c = 5.6431 Å, α = 90.00°, β = 90.00° and γ = 90.00°. The inequivalent atoms are Be at (0.0000, 0.0000, 0.0000), Al at (0.0000, 0.0000, 0.5000) and Ir at (0.2500, 0.2500, 0.7500).



Relative energies in meV per atom: *P* 286; *Q* 0